{
  "formula": "RbDyFeO4",
  "functional": "GGA+U",
  "state": "relaxed",
  "spacegroup": "P2_1/m, No. 11",
  "rho_g_cm3": 4.78,
  "total_energy_ev_per_fu": -45.2,
  "lattice_angstrom": [[5.892, 0.000, 0.000], [0.000, 6.037, 0.000], [-2.481, 0.000, 7.181]],
  "species": ["Rb", "Rb", "Dy", "Dy", "Fe", "Fe", "O", "O", "O", "O", "O", "O", "O", "O"],
  "frac_coords": [[0.202, 0.250, 0.436], [0.798, 0.750, 0.564], [0.319, 0.250, 0.964], [0.681, 0.750, 0.036], [0.235, 0.750, 0.161], [0.765, 0.250, 0.839], [0.015, 0.750, 0.940], [0.030, 0.750, 0.290], [0.459, 0.523, 0.173], [0.459, 0.977, 0.173], [0.541, 0.023, 0.827], [0.541, 0.477, 0.827], [0.970, 0.250, 0.710], [0.985, 0.250, 0.060]]
}